BaMn2Re: optimized geometry, GGA-PBE.

It has space group P4/mmm (No. 123), with a = 3.159 Å, b = 3.159 Å, c = 8.100 Å, α = 90.00°, β = 90.00° and γ = 90.00°. Symmetry generates all atoms from Ba at (0.000, 0.000, 0.000), Mn at (0.500, 0.500, 0.332) and Re at (0.000, 0.000, 0.500).

The total magnetization is 5.614 μB per formula unit. The formation energy comes out at 0.611 eV/atom. The calculation puts the distance to the lowest polymorph of the same formula at 114 meV per atom.